[1]
# NdGeN2Cl PBE optimized geometry
# Electronic total energy: -0.2363 hartree per atom
data_NdGeN2Cl
_chemical_formula_sum 'Nd2 Ge2 N4 Cl2'
_symmetry_space_group_name_H-M 'P 1 21/m 1'
_symmetry_Int_Tables_number 11
_cell_length_a 7.229
_cell_length_b 3.629
_cell_length_c 8.104
_cell_angle_alpha 90.00
_cell_angle_beta 102.87
_cell_angle_gamma 90.00
loop_
_symmetry_equiv_pos_as_xyz
'x,y,z'
'-x,-y,-z'
'-x,y+1/2,-z'
'x,-y+1/2,z'
loop_
_atom_site_label
_atom_site_type_symbol
_atom_site_fract_x
_atom_site_fract_y
_atom_site_fract_z
_atom_site_occupancy
Nd1 Nd 0.207 0.250 0.472 1
Ge1 Ge 0.049 0.250 0.884 1
N1 N 0.018 0.750 0.350 1
N2 N 0.122 0.750 0.969 1
Cl1 Cl 0.468 0.750 0.691 1

=====

[2]
# ZrTiVRh PBE optimized geometry
# Electronic total energy: -0.3140 hartree per atom
data_ZrTiVRh
_chemical_formula_sum 'Zr4 Ti4 V4 Rh4'
_symmetry_space_group_name_H-M 'F -4 3 m'
_symmetry_Int_Tables_number 216
_symmetry_space_group_name_Hall 'F -4 2 3'
_cell_length_a 6.424
_cell_length_b 6.424
_cell_length_c 6.424
_cell_angle_alpha 90.00
_cell_angle_beta 90.00
_cell_angle_gamma 90.00
loop_
_atom_site_label
_atom_site_type_symbol
_atom_site_fract_x
_atom_site_fract_y
_atom_site_fract_z
_atom_site_occupancy
Zr1 Zr 0.000 0.000 0.000 1
Ti1 Ti 0.000 0.000 0.500 1
V1 V 0.250 0.250 0.250 1
Rh1 Rh 0.250 0.250 0.750 1

=====

[3]
# AgBi2F8 PBE optimized geometry
# Energy above the lowest structure with this stoichiometry: 0 meV/atom
data_AgBi2F8
_chemical_formula_sum 'Ag2 Bi4 F16'
_symmetry_space_group_name_H-M 'C 1 2/m 1'
_symmetry_Int_Tables_number 12
_cell_length_a 15.163
_cell_length_b 3.643
_cell_length_c 5.942
_cell_angle_alpha 90.00
_cell_angle_beta 106.52
_cell_angle_gamma 90.00
loop_
_symmetry_equiv_pos_as_xyz
'x,y,z'
'-x,-y,-z'
'-x,y,-z'
'x,-y,z'
'x+1/2,y+1/2,z'
'-x+1/2,-y+1/2,-z'
'-x+1/2,y+1/2,-z'
'x+1/2,-y+1/2,z'
loop_
_atom_site_label
_atom_site_type_symbol
_atom_site_fract_x
_atom_site_fract_y
_atom_site_fract_z
_atom_site_occupancy
Ag1 Ag 0.000 0.000 0.000 1
Bi1 Bi 0.179 0.500 0.695 1
F1 F 0.037 0.500 0.837 1
F2 F 0.098 0.000 0.495 1
F3 F 0.181 0.000 0.972 1
F4 F 0.215 0.500 0.337 1

=====

[4]
# Sm3Rh3Pb2 PBE optimized geometry
# Electronic total energy: -0.2189 hartree per atom
data_Sm3Rh3Pb2
_chemical_formula_sum 'Sm6 Rh6 Pb4'
_symmetry_space_group_name_H-M 'I m m m'
_symmetry_Int_Tables_number 71
_symmetry_space_group_name_Hall '-I 2 2'
_cell_length_a 3.504
_cell_length_b 4.918
_cell_length_c 22.063
_cell_angle_alpha 90.00
_cell_angle_beta 90.00
_cell_angle_gamma 90.00
loop_
_atom_site_label
_atom_site_type_symbol
_atom_site_fract_x
_atom_site_fract_y
_atom_site_fract_z
_atom_site_occupancy
Sm1 Sm 0.000 0.000 0.000 1
Sm2 Sm 0.000 0.500 0.115 1
Rh1 Rh 0.000 0.000 0.500 1
Rh2 Rh 0.000 0.500 0.393 1
Pb1 Pb 0.000 0.000 0.217 1

=====

[5]
# Ni2AuCl8 PBE optimized geometry
# Electronic total energy: -0.1117 hartree per atom
data_Ni2AuCl8
_chemical_formula_sum 'Ni4 Au2 Cl16'
_symmetry_space_group_name_H-M 'C 1 2/m 1'
_symmetry_Int_Tables_number 12
_cell_length_a 10.470
_cell_length_b 8.088
_cell_length_c 9.555
_cell_angle_alpha 90.00
_cell_angle_beta 122.71
_cell_angle_gamma 90.00
loop_
_symmetry_equiv_pos_as_xyz
'x,y,z'
'-x,-y,-z'
'-x,y,-z'
'x,-y,z'
'x+1/2,y+1/2,z'
'-x+1/2,-y+1/2,-z'
'-x+1/2,y+1/2,-z'
'x+1/2,-y+1/2,z'
loop_
_atom_site_label
_atom_site_type_symbol
_atom_site_fract_x
_atom_site_fract_y
_atom_site_fract_z
_atom_site_occupancy
Ni1 Ni 0.184 0.000 0.087 1
Au1 Au 0.000 0.500 0.500 1
Cl1 Cl 0.021 0.000 0.165 1
Cl2 Cl 0.154 0.303 0.697 1
Cl3 Cl 0.178 0.500 0.017 1

=====

[6]
# TaOs2Ru PBE optimized geometry
# Energy above the lowest structure with this stoichiometry: 339 meV/atom
data_TaOs2Ru
_chemical_formula_sum 'Ta2 Os4 Ru2'
_symmetry_space_group_name_H-M 'I m m m'
_symmetry_Int_Tables_number 71
_symmetry_space_group_name_Hall '-I 2 2'
_cell_length_a 3.075
_cell_length_b 4.385
_cell_length_c 9.245
_cell_angle_alpha 90.00
_cell_angle_beta 90.00
_cell_angle_gamma 90.00
loop_
_atom_site_label
_atom_site_type_symbol
_atom_site_fract_x
_atom_site_fract_y
_atom_site_fract_z
_atom_site_occupancy
Ta1 Ta 0.000 0.000 0.000 1
Os1 Os 0.000 0.500 0.273 1
Ru1 Ru 0.000 0.000 0.500 1